# Mg2CrCoHg (PBE-GGA, optimized geometry)
# VASP energy: -3.223 eV per atom
# N(E_F): 0.802 states/eV per atom
data_Mg2CrCoHg
_chemical_formula_sum 'Mg2 Cr1 Co1 Hg1'
_space_group_name_H-M_alt 'P 4/m m m'
_space_group_IT_number 123
_space_group_name_Hall '-P 4 2'
_cell_length_a 5.165
_cell_length_b 5.165
_cell_length_c 4.067
_cell_angle_alpha 90.00
_cell_angle_beta 90.00
_cell_angle_gamma 90.00
loop_
_atom_site_label
_atom_site_fract_x
_atom_site_fract_y
_atom_site_fract_z
Mg1 0.000 0.500 0.000
Cr1 0.000 0.000 0.000
Co1 0.000 0.000 0.500
Hg1 0.500 0.500 0.500

# SbTe2Os (PBE-GGA, optimized geometry)
# Raw formation energy: 0.671 eV/atom
# VASP energy: -4.738 eV per atom
# N(E_F): 0.610 states/eV per atom
data_SbTe2Os
_chemical_formula_sum 'Sb2 Te4 Os2'
_space_group_name_H-M_alt 'I 4/m m m'
_space_group_IT_number 139
_space_group_name_Hall '-I 4 2'
_cell_length_a 5.809
_cell_length_b 5.809
_cell_length_c 5.760
_cell_angle_alpha 90.00
_cell_angle_beta 90.00
_cell_angle_gamma 90.00
loop_
_atom_site_label
_atom_site_fract_x
_atom_site_fract_y
_atom_site_fract_z
Sb1 0.000 0.000 0.000
Te1 0.000 0.500 0.000
Os1 0.000 0.000 0.500